1.
A relaxed CsH6SN2 crystal. Source: Alexandria via LeMat-Bulk, functional PBE-GGA.

Unit cell a=10.5145 b=10.5145 c=5.1281 alpha=99.55 beta=99.55 gamma=143.51
With the nearest neighbours (Å) after each atom.
Positions (direct):
Cs 0.0790 0.9210 0.7500  2 N 3.23, 6 H 3.26-3.53, 4 S 3.47-3.52
Cs 0.9210 0.0790 0.2500  2 N 3.23, 6 H 3.26-3.53, 4 S 3.47-3.52
H 0.0132 0.3996 0.9493  1 N 1.02
H 0.2308 0.4850 0.9582  1 N 1.04
H 0.2398 0.6439 0.9234  1 N 1.02
H 0.3561 0.7602 0.5766  1 N 1.02
H 0.3996 0.0132 0.4493  1 N 1.02
H 0.4850 0.2308 0.4582  1 N 1.04
H 0.5150 0.7692 0.5418  1 N 1.04
H 0.6004 0.9868 0.5507  1 N 1.02
H 0.6439 0.2398 0.4234  1 N 1.02
H 0.7602 0.3561 0.0766  1 N 1.02
H 0.7692 0.5150 0.0418  1 N 1.04
H 0.9868 0.6004 0.0507  1 N 1.02
S 0.4841 0.5159 0.2500  2 H 2.56, 2 S 2.64
S 0.5159 0.4841 0.7500  2 H 2.56, 2 S 2.64
N 0.1200 0.4662 0.8511  3 H 1.02-1.04
N 0.4662 0.1200 0.3511  3 H 1.02-1.04
N 0.5338 0.8800 0.6489  3 H 1.02-1.04
N 0.8800 0.5338 0.1489  3 H 1.02-1.04

Results
energy: -4.59 eV per atom
space group: C2/c, No. 15

=====

2.
A relaxed Sc3Zn2Ni7 crystal. Source: Alexandria via LeMat-Bulk, functional PBE-GGA.

Unit cell a=8.3168 b=8.3168 c=8.3168 alpha=34.69 beta=34.69 gamma=34.69
With the nearest neighbours (Å) after each atom.
Positions (direct):
Sc 0.0000 0.0000 0.0000  6 Zn 2.86, 12 Ni 3.18
Sc 0.1396 0.1396 0.1396  12 Ni 2.79-2.93
Sc 0.8604 0.8604 0.8604  12 Ni 2.79-2.93
Zn 0.3340 0.3340 0.3340  6 Ni 2.45-2.46
Zn 0.6660 0.6660 0.6660  6 Ni 2.45-2.46
Ni 0.0817 0.5871 0.5871  5 Ni 2.39-2.51, 2 Zn 2.45-2.46
Ni 0.4129 0.4129 0.9183  5 Ni 2.39-2.51, 2 Zn 2.45-2.46
Ni 0.4129 0.9183 0.4129  5 Ni 2.39-2.51, 2 Zn 2.45-2.46
Ni 0.5000 0.5000 0.5000  6 Ni 2.39
Ni 0.5871 0.0817 0.5871  5 Ni 2.39-2.51, 2 Zn 2.45-2.46
Ni 0.5871 0.5871 0.0817  5 Ni 2.39-2.51, 2 Zn 2.45-2.46
Ni 0.9183 0.4129 0.4129  5 Ni 2.39-2.51, 2 Zn 2.45-2.46

Results
formation energy: -0.44 eV/atom
space group: R-3m, No. 166

=====

3.
A relaxed ScNb2Fe2 crystal. Source: Alexandria via LeMat-Bulk, functional PBE-GGA.

Unit cell a=7.4454 b=7.4454 c=2.8576 alpha=90.00 beta=90.00 gamma=90.00
With the nearest neighbours (Å) after each atom.
Positions (direct):
Sc 0.0000 0.0000 0.0000  4 Nb 2.84, 2 Sc 2.86
Sc 0.5000 0.5000 0.0000  4 Nb 2.84, 2 Sc 2.86
Nb 0.1489 0.3511 0.0000  6 Fe 2.59-2.62, 2 Sc 2.84, 2 Nb 2.86
Nb 0.3511 0.8511 0.0000  6 Fe 2.59-2.62, 2 Sc 2.84, 2 Nb 2.86
Nb 0.6489 0.1489 0.0000  6 Fe 2.59-2.62, 2 Sc 2.84, 2 Nb 2.86
Nb 0.8511 0.6489 0.0000  6 Fe 2.59-2.62, 2 Sc 2.84, 2 Nb 2.86
Fe 0.1460 0.6460 0.5000  6 Nb 2.59-2.62, 2 Fe 2.86
Fe 0.3540 0.1460 0.5000  6 Nb 2.59-2.62, 2 Fe 2.86
Fe 0.6460 0.8540 0.5000  6 Nb 2.59-2.62, 2 Fe 2.86
Fe 0.8540 0.3540 0.5000  6 Nb 2.59-2.62, 2 Fe 2.86

Results
polymorph energy (0 for the lowest one): 96.5 meV per atom
formation energy: 0.11 eV/atom
space group: P4/mbm, No. 127

=====

4.
A relaxed Sr2PdBr crystal. Source: Alexandria via LeMat-Bulk, functional PBE-GGA.

Unit cell a=7.2605 b=7.2605 c=7.2605 alpha=112.75 beta=112.75 gamma=103.09
With the nearest neighbours (Å) after each atom.
Positions (direct):
Sr 0.1057 0.1250 0.4807  2 Pd 2.96, 2 Br 3.16
Sr 0.3750 0.8943 0.0193  2 Pd 2.96, 2 Br 3.16
Sr 0.6443 0.6250 0.5193  2 Pd 2.96, 2 Br 3.16
Sr 0.8750 0.3557 0.9807  2 Pd 2.96, 2 Br 3.16
Pd 0.0000 0.0000 0.0000  4 Sr 2.96
Pd 0.7500 0.2500 0.5000  4 Sr 2.96
Br 0.2500 0.7500 0.5000  4 Sr 3.16
Br 0.5000 0.5000 0.0000  4 Sr 3.16

Results
polymorph energy (0 for the lowest one): 228.6 meV per atom
formation energy without anion corrections: -0.865 eV/atom
space group: I-42d, No. 122

=====

5.
A relaxed NpNiH4 crystal. Source: Alexandria via LeMat-Bulk, functional PBE-GGA.

Unit cell a=3.7362 b=6.3954 c=4.7353 alpha=90.00 beta=90.00 gamma=90.00
With the nearest neighbours (Å) after each atom.
Positions (direct):
Np 0.2500 0.2500 0.1841  9 H 2.13-2.35
Np 0.7500 0.7500 0.8159  9 H 2.13-2.35
Ni 0.2500 0.7500 0.2748  3 H 1.54-1.62
Ni 0.7500 0.2500 0.7252  3 H 1.54-1.62
H 0.2500 0.2500 0.6951  2 Ni 1.87
H 0.2500 0.5842 0.0153  1 Ni 1.62
H 0.2500 0.7500 0.5994  1 Ni 1.54
H 0.2500 0.9158 0.0153  1 Ni 1.62
H 0.7500 0.0842 0.9847  1 Ni 1.62
H 0.7500 0.2500 0.4006  1 Ni 1.54
H 0.7500 0.4158 0.9847  1 Ni 1.62
H 0.7500 0.7500 0.3049  2 Ni 1.87

Results
polymorph energy (0 for the lowest one): 31.5 meV per atom
space group: Pmmn, No. 59

=====

6.
A relaxed CaRh crystal. Source: Alexandria via LeMat-Bulk, functional PBE-GGA.

Unit cell a=7.2400 b=7.2400 c=7.2400 alpha=109.47 beta=109.47 gamma=109.47
With the nearest neighbours (Å) after each atom.
Positions (direct):
Ca 0.0000 0.0000 0.5918  4 Rh 2.65-2.86
Ca 0.0000 0.5918 0.0000  4 Rh 2.65-2.86
Ca 0.4082 0.4082 0.4082  4 Rh 2.65-2.86
Ca 0.5918 0.0000 0.0000  4 Rh 2.65-2.86
Rh 0.0000 0.0000 0.2255  4 Ca 2.65-2.86, 3 Rh 2.67
Rh 0.0000 0.2255 0.0000  4 Ca 2.65-2.86, 3 Rh 2.67
Rh 0.2255 0.0000 0.0000  4 Ca 2.65-2.86, 3 Rh 2.67
Rh 0.7745 0.7745 0.7745  4 Ca 2.65-2.86, 3 Rh 2.67

Results
formation energy: 0.40 eV/atom
space group: I-43m, No. 217

=====

7.
A relaxed Al2ReSe crystal. Source: Alexandria via LeMat-Bulk, functional PBE-GGA.

Unit cell a=4.4323 b=4.4323 c=3.2140 alpha=90.00 beta=90.00 gamma=90.00
With the nearest neighbours (Å) after each atom.
Positions (direct):
Al 0.0000 0.5000 0.0000  4 Se 2.74, 4 Re 2.74
Al 0.5000 0.0000 0.0000  4 Se 2.74, 4 Re 2.74
Re 0.0000 0.0000 0.5000  8 Al 2.74
Se 0.5000 0.5000 0.5000  8 Al 2.74

Results
formation energy without anion corrections: 0.132 eV/atom
space group: P4/mmm, No. 123

=====

8.
A relaxed ZnCrCo crystal. Source: Alexandria via LeMat-Bulk, functional PBE-GGA.

Unit cell a=3.8719 b=3.8719 c=3.8719 alpha=60.00 beta=60.00 gamma=60.00
With the nearest neighbours (Å) after each atom.
Positions (direct):
Zn 0.0000 0.0000 0.0000  4 Co 2.37
Cr 0.5000 0.5000 0.5000  4 Co 2.37
Co 0.2500 0.2500 0.2500  4 Cr 2.37, 4 Zn 2.37

Results
polymorph energy (0 for the lowest one): 368.7 meV per atom
formation energy: 0.45 eV/atom
space group: F-43m, No. 216

=====

9.
A relaxed Dy3HoRu2 crystal. Source: Alexandria via LeMat-Bulk, functional PBE-GGA.

Unit cell a=8.3010 b=8.3010 c=8.3010 alpha=132.38 beta=71.53 gamma=130.00
With the nearest neighbours (Å) after each atom.
Positions (direct):
Dy 0.0152 0.7500 0.2652  4 Ru 2.90
Dy 0.2500 0.2500 0.0000  4 Ru 2.93
Dy 0.4848 0.7500 0.7348  4 Ru 2.90
Dy 0.5152 0.2500 0.2652  4 Ru 2.90
Dy 0.7500 0.7500 0.0000  4 Ru 2.93
Dy 0.9848 0.2500 0.7348  4 Ru 2.90
Ho 0.0000 0.5000 0.5000  2 Ru 2.60
Ho 0.5000 0.0000 0.5000  2 Ru 2.60
Ru 0.1344 0.2218 0.3562  1 Ho 2.60, 4 Dy 2.90
Ru 0.3656 0.7218 0.0874  1 Ho 2.60, 4 Dy 2.90
Ru 0.6344 0.2782 0.9126  1 Ho 2.60, 4 Dy 2.90
Ru 0.8656 0.7782 0.6438  1 Ho 2.60, 4 Dy 2.90

Results
polymorph energy (0 for the lowest one): 102.2 meV per atom
formation energy: -0.24 eV/atom
space group: Ibam, No. 72

=====

10.
A relaxed In7Pb2 crystal. Source: Alexandria via LeMat-Bulk, functional PBE-GGA.

Unit cell a=5.9799 b=5.9799 c=8.2223 alpha=90.00 beta=90.00 gamma=120.00
With the nearest neighbours (Å) after each atom.
Positions (direct):
In 0.0000 0.0000 0.0000  6 In 3.40, 6 Pb 3.45
In 0.0000 0.3308 0.6633  10 In 3.34-3.47, 2 Pb 3.42
In 0.0000 0.6692 0.3367  10 In 3.34-3.47, 2 Pb 3.42
In 0.3308 0.0000 0.6633  10 In 3.34-3.47, 2 Pb 3.42
In 0.3308 0.3308 0.3367  10 In 3.34-3.47, 2 Pb 3.42
In 0.6692 0.0000 0.3367  10 In 3.34-3.47, 2 Pb 3.42
In 0.6692 0.6692 0.6633  10 In 3.34-3.47, 2 Pb 3.42
Pb 0.3333 0.6667 0.0000  9 In 3.42-3.45, 3 Pb 3.45
Pb 0.6667 0.3333 0.0000  9 In 3.42-3.45, 3 Pb 3.45

Results
formation energy: 0.02 eV/atom
space group: P-31m, No. 162

=====

11.
A relaxed La2ScGa12Co3 crystal. Source: Alexandria via LeMat-Bulk, functional PBE-GGA.

Unit cell a=7.9196 b=7.9196 c=7.9196 alpha=65.80 beta=65.80 gamma=65.80
With the nearest neighbours (Å) after each atom.
Positions (direct):
La 0.0834 0.0834 0.0834  6 Ga 3.08-3.42, 1 La 3.09
La 0.9166 0.9166 0.9166  6 Ga 3.08-3.42, 1 La 3.09
Sc 0.5000 0.5000 0.5000  12 Ga 3.07-3.36
Ga 0.0585 0.6557 0.6557  1 Co 2.33
Ga 0.2262 0.2262 0.5879  2 Co 2.23
Ga 0.2262 0.5879 0.2262  2 Co 2.23
Ga 0.3443 0.3443 0.9415  1 Co 2.33
Ga 0.3443 0.9415 0.3443  1 Co 2.33
Ga 0.4121 0.7738 0.7738  2 Co 2.23
Ga 0.5879 0.2262 0.2262  2 Co 2.23
Ga 0.6557 0.0585 0.6557  1 Co 2.33
Ga 0.6557 0.6557 0.0585  1 Co 2.33
Ga 0.7738 0.4121 0.7738  2 Co 2.23
Ga 0.7738 0.7738 0.4121  2 Co 2.23
Ga 0.9415 0.3443 0.3443  1 Co 2.33
Co 0.0000 0.5000 0.5000  6 Ga 2.23-2.33
Co 0.5000 0.0000 0.5000  6 Ga 2.23-2.33
Co 0.5000 0.5000 0.0000  6 Ga 2.23-2.33

Results
formation energy: -0.05 eV/atom
space group: R-3m, No. 166

=====

12.
A relaxed Pm3Au crystal. Source: Alexandria via LeMat-Bulk, functional PBE-GGA.

Unit cell a=3.7040 b=3.7574 c=9.5199 alpha=90.00 beta=90.00 gamma=90.00
With the nearest neighbours (Å) after each atom.
Positions (direct):
Pm 0.0000 0.0000 0.0000  10 Pm 3.63-3.76
Pm 0.0000 0.5000 0.3266  4 Au 3.00
Pm 0.5000 0.5000 0.7313  2 Au 3.07
Au 0.5000 0.0000 0.4762  6 Pm 3.00-3.07

Results
polymorph energy (0 for the lowest one): 227.9 meV per atom
formation energy: -0.18 eV/atom
space group: Pmm2, No. 25

=====

13.
A relaxed KYP2O crystal. Source: Alexandria via LeMat-Bulk, functional PBE-GGA.

Unit cell a=5.5668 b=5.5668 c=4.3772 alpha=90.00 beta=90.00 gamma=90.00
With the nearest neighbours (Å) after each atom.
Positions (direct):
K 0.0000 0.0000 0.0000  8 P 3.54, 4 O 3.94
Y 0.5000 0.5000 0.5000  2 O 2.19
P 0.0000 0.5000 0.5000  2 Y 2.78
P 0.5000 0.0000 0.5000  2 Y 2.78
O 0.5000 0.5000 0.0000  2 Y 2.19

Results
polymorph energy (0 for the lowest one): 0.0 meV per atom
formation energy without anion corrections: -0.494 eV/atom
space group: P4/mmm, No. 123

=====

14.
A relaxed LiCuBr4 crystal. Source: Alexandria via LeMat-Bulk, functional PBE-GGA.

Unit cell a=6.4022 b=6.4022 c=6.4022 alpha=60.00 beta=60.00 gamma=60.00
With the nearest neighbours (Å) after each atom.
Positions (direct):
Li 0.0000 0.0000 0.0000  12 Br 3.75, 4 Cu 3.92
Cu 0.2500 0.2500 0.2500  12 Br 3.75, 4 Li 3.92
Br 0.1261 0.6246 0.6246  6 Br 3.19-3.21
Br 0.6246 0.1261 0.6246  6 Br 3.19-3.21
Br 0.6246 0.6246 0.1261  6 Br 3.19-3.21
Br 0.6246 0.6246 0.6246  6 Br 3.19-3.21

Results
formation energy without anion corrections: 0.427 eV/atom
space group: F-43m, No. 216

=====

15.
A relaxed LaBOs2Cl crystal. Source: Alexandria via LeMat-Bulk, functional PBE-GGA.

Unit cell a=4.0566 b=4.0566 c=5.8015 alpha=90.00 beta=90.00 gamma=90.00
With the nearest neighbours (Å) after each atom.
Positions (direct):
La 0.0000 0.0000 0.0000  4 Cl 2.87, 2 B 2.90
B 0.0000 0.0000 0.5000  4 Os 2.03
Os 0.0000 0.5000 0.5000  2 B 2.03
Os 0.5000 0.0000 0.5000  2 B 2.03
Cl 0.5000 0.5000 0.0000  4 La 2.87

Results
formation energy without anion corrections: -0.017 eV/atom
space group: P4/mmm, No. 123

=====

16.
A relaxed Cd2BiRh crystal. Source: Alexandria via LeMat-Bulk, functional PBE-GGA.

Unit cell a=3.2545 b=3.2545 c=8.4596 alpha=90.00 beta=90.00 gamma=90.00
With the nearest neighbours (Å) after each atom.
Positions (direct):
Cd 0.0000 0.0000 0.1899  4 Rh 2.81
Cd 0.0000 0.0000 0.8101  4 Rh 2.81
Bi 0.5000 0.5000 0.5000  4 Bi 3.25, 8 Cd 3.49
Rh 0.5000 0.5000 0.0000  8 Cd 2.81

Results
formation energy: 0.00 eV/atom
space group: P4/mmm, No. 123

=====

17.
A relaxed RbMg2CuB crystal. Source: Alexandria via LeMat-Bulk, functional PBE-GGA.

Unit cell a=4.9670 b=4.9670 c=6.0261 alpha=90.00 beta=90.00 gamma=90.00
With the nearest neighbours (Å) after each atom.
Positions (direct):
Rb 0.0000 0.0000 0.0000  2 Cu 3.01
Mg 0.0000 0.5000 0.5000  2 Cu 2.48
Mg 0.5000 0.0000 0.5000  2 Cu 2.48
Cu 0.0000 0.0000 0.5000  4 Mg 2.48
B 0.5000 0.5000 0.0000  4 Rb 3.51, 8 Mg 3.90

Results
polymorph energy (0 for the lowest one): 457.2 meV per atom
formation energy: 1.16 eV/atom
space group: P4/mmm, No. 123

=====

18.
A relaxed KCe4I8 crystal. Source: Alexandria via LeMat-Bulk, functional PBE-GGA.

Unit cell a=10.6570 b=10.6570 c=10.6570 alpha=46.06 beta=46.06 gamma=46.06
With the nearest neighbours (Å) after each atom.
Positions (direct):
K 0.0000 0.0000 0.0000  6 I 3.55
Ce 0.0000 0.0000 0.5000  6 I 3.23-3.25
Ce 0.0000 0.5000 0.0000  6 I 3.23-3.25
Ce 0.5000 0.0000 0.0000  6 I 3.23-3.25
Ce 0.5000 0.5000 0.5000  6 I 3.23
I 0.2420 0.2420 0.2420  3 Ce 3.23
I 0.2453 0.7414 0.7414  3 Ce 3.23-3.25, 1 K 3.55
I 0.2586 0.2586 0.7547  3 Ce 3.23-3.25, 1 K 3.55
I 0.2586 0.7547 0.2586  3 Ce 3.23-3.25, 1 K 3.55
I 0.7414 0.2453 0.7414  3 Ce 3.23-3.25, 1 K 3.55
I 0.7414 0.7414 0.2453  3 Ce 3.23-3.25, 1 K 3.55
I 0.7547 0.2586 0.2586  3 Ce 3.23-3.25, 1 K 3.55
I 0.7580 0.7580 0.7580  3 Ce 3.23

Results
formation energy without anion corrections: -1.211 eV/atom
space group: R-3m, No. 166

=====

19.
A relaxed ZrGa3Te crystal. Source: Alexandria via LeMat-Bulk, functional PBE-GGA.

Unit cell a=5.3320 b=5.3320 c=5.3320 alpha=90.00 beta=90.00 gamma=90.00
With the nearest neighbours (Å) after each atom.
Positions (direct):
Zr 0.0000 0.0000 0.0000  6 Ga 2.67
Ga 0.0000 0.0000 0.5000  2 Zr 2.67
Ga 0.0000 0.5000 0.0000  2 Zr 2.67
Ga 0.5000 0.0000 0.0000  2 Zr 2.67
Te 0.5000 0.5000 0.5000  12 Ga 3.77

Results
polymorph energy (0 for the lowest one): 0.0 meV per atom
formation energy without anion corrections: 0.540 eV/atom
space group: Pm-3m, No. 221

=====

20.
A relaxed Ti10Si3As3 crystal. Source: Alexandria via LeMat-Bulk, functional PBE-GGA.

Unit cell a=7.4947 b=7.4947 c=5.1529 alpha=90.00 beta=90.00 gamma=120.00
With the nearest neighbours (Å) after each atom.
Positions (direct):
Ti 0.0000 0.2506 0.0000  3 As 2.57-2.69, 2 Si 2.77
Ti 0.0000 0.7461 0.5000  3 Si 2.55-2.70, 2 As 2.77
Ti 0.2506 0.0000 0.0000  3 As 2.57-2.69, 2 Si 2.77
Ti 0.2539 0.2539 0.5000  3 Si 2.55-2.70, 2 As 2.77
Ti 0.3333 0.6667 0.2539  2 Ti 2.54-2.62, 3 Si 2.65, 3 As 2.66
Ti 0.3333 0.6667 0.7461  2 Ti 2.54-2.62, 3 Si 2.65, 3 As 2.66
Ti 0.6667 0.3333 0.2539  2 Ti 2.54-2.62, 3 Si 2.65, 3 As 2.66
Ti 0.6667 0.3333 0.7461  2 Ti 2.54-2.62, 3 Si 2.65, 3 As 2.66
Ti 0.7461 0.0000 0.5000  3 Si 2.55-2.70, 2 As 2.77
Ti 0.7494 0.7494 0.0000  3 As 2.57-2.69, 2 Si 2.77
Si 0.0000 0.3865 0.5000  9 Ti 2.55-2.77
Si 0.3865 0.0000 0.5000  9 Ti 2.55-2.77
Si 0.6135 0.6135 0.5000  9 Ti 2.55-2.77
As 0.0000 0.6095 0.0000  9 Ti 2.57-2.77
As 0.3905 0.3905 0.0000  9 Ti 2.57-2.77
As 0.6095 0.0000 0.0000  9 Ti 2.57-2.77

Results
formation energy without anion corrections: -0.829 eV/atom
space group: P-62m, No. 189

=====

| no. | size of the total moment (μB per cell) |
| --- | --- |
| 1 | 0.45 |
| 2 | 0.00 |
| 3 | 0.00 |
| 4 | 0.00 |
| 5 | 7.67 |
| 6 | 1.87 |
| 7 | 0.00 |
| 8 | 0.61 |
| 9 | 0.00 |
| 10 | 0.00 |
| 11 | 0.00 |
| 12 | 0.00 |
| 13 | 2.31 |
| 14 | 1.62 |
| 15 | 0.00 |
| 16 | 0.00 |
| 17 | 0.00 |
| 18 | 8.03 |
| 19 | 0.00 |
| 20 | 0.00 |